(1)
# Li2H2Pd, optimized geometry, DFT PBE-GGA
data_Li2H2Pd
_chemical_formula_sum 'Li4 H4 Pd2'
_cell_length_a 3.093
_cell_length_b 3.093
_cell_length_c 10.288
_cell_angle_alpha 90.00
_cell_angle_beta 90.00
_cell_angle_gamma 90.00
_space_group_name_H-M_alt 'I 4/m m m'
_space_group_IT_number 139
_space_group_name_Hall '-I 4 2'
loop_
_atom_site_label
_atom_site_type_symbol
_atom_site_fract_x
_atom_site_fract_y
_atom_site_fract_z
_atom_site_occupancy
Li1 Li 0.000 0.000 0.147 1
H1 H 0.000 0.000 0.336 1
Pd1 Pd 0.000 0.000 0.500 1
# * N(E_F): 0.02 states/eV/cell
# * total DFT energy (no corrections): -35.870 eV per cell
# * total magnetization: 0.000 μB/atom

---

(2)
# Be2PtCl, optimized geometry, DFT PBE-GGA
data_Be2PtCl
_chemical_formula_sum 'Be2 Pt1 Cl1'
_cell_length_a 2.806
_cell_length_b 3.216
_cell_length_c 6.121
_cell_angle_alpha 90.00
_cell_angle_beta 90.00
_cell_angle_gamma 90.00
_space_group_name_H-M_alt 'P m m m'
_space_group_IT_number 47
loop_
_space_group_symop_operation_xyz
'x,y,z'
'-x,-y,-z'
'-x,-y,z'
'x,y,-z'
'x,-y,-z'
'-x,y,z'
'-x,y,-z'
'x,-y,z'
loop_
_atom_site_label
_atom_site_type_symbol
_atom_site_fract_x
_atom_site_fract_y
_atom_site_fract_z
_atom_site_occupancy
Be1 Be 0.000 0.000 0.194 1
Pt1 Pt 0.500 0.500 0.000 1
Cl1 Cl 0.500 0.000 0.500 1
# * N(E_F): 0.73 states/eV/cell
# * formation energy (no corrections): -41 kJ per mole of atoms
# * energy above the most stable polymorph in this dataset: 0.1122 eV/atom
# * total magnetization: 0.000 μB/atom

---

(3)
# Cd2Ga2Se5, optimized geometry, DFT PBE-GGA
data_Cd2Ga2Se5
_chemical_formula_sum 'Cd4 Ga4 Se10'
_cell_length_a 7.164
_cell_length_b 6.710
_cell_length_c 10.782
_cell_angle_alpha 90.00
_cell_angle_beta 109.05
_cell_angle_gamma 90.00
_space_group_name_H-M_alt 'P 1 21 1'
_space_group_IT_number 4
loop_
_space_group_symop_operation_xyz
'x,y,z'
'-x,y+1/2,-z'
loop_
_atom_site_label
_atom_site_type_symbol
_atom_site_fract_x
_atom_site_fract_y
_atom_site_fract_z
_atom_site_occupancy
Cd1 Cd 0.070 0.000 0.323 1
Cd2 Cd 0.156 0.521 0.121 1
Ga1 Ga 0.349 0.518 0.507 1
Ga2 Ga 0.475 0.013 0.101 1
Se1 Se 0.053 0.605 0.329 1
Se2 Se 0.145 0.117 0.101 1
Se3 Se 0.289 0.659 0.703 1
Se4 Se 0.357 0.149 0.530 1
Se5 Se 0.496 0.146 0.894 1
# * formation energy (no corrections): -60 kJ per mole of atoms
# * total magnetization: 0.000 μB/atom

---

(4)
# Cs2HfCu2S4, optimized geometry, DFT PBE-GGA
data_Cs2HfCu2S4
_chemical_formula_sum 'Cs4 Hf2 Cu4 S8'
_cell_length_a 14.181
_cell_length_b 3.875
_cell_length_c 8.101
_cell_angle_alpha 90.00
_cell_angle_beta 107.24
_cell_angle_gamma 90.00
_space_group_name_H-M_alt 'C 1 2/m 1'
_space_group_IT_number 12
loop_
_space_group_symop_operation_xyz
'x,y,z'
'-x,-y,-z'
'-x,y,-z'
'x,-y,z'
'x+1/2,y+1/2,z'
'-x+1/2,-y+1/2,-z'
'-x+1/2,y+1/2,-z'
'x+1/2,-y+1/2,z'
loop_
_atom_site_label
_atom_site_type_symbol
_atom_site_fract_x
_atom_site_fract_y
_atom_site_fract_z
_atom_site_occupancy
Cs1 Cs 0.140 0.000 0.067 1
Hf1 Hf 0.000 0.000 0.500 1
Cu1 Cu 0.178 0.500 0.486 1
S1 S 0.019 0.500 0.295 1
S2 S 0.188 0.000 0.654 1
# * N(E_F): 0.69 states/eV/cell
# * formation energy (no corrections): -102 kJ per mole of atoms
# * total magnetization: 0.000 μB/atom

---

(5)
# InCuTc2, optimized geometry, DFT PBE-GGA
data_InCuTc2
_chemical_formula_sum 'In2 Cu2 Tc4'
_cell_length_a 8.906
_cell_length_b 2.869
_cell_length_c 4.947
_cell_angle_alpha 90.00
_cell_angle_beta 98.57
_cell_angle_gamma 90.00
_space_group_name_H-M_alt 'C 1 m 1'
_space_group_IT_number 8
loop_
_space_group_symop_operation_xyz
'x,y,z'
'x,-y,z'
'x+1/2,y+1/2,z'
'x+1/2,-y+1/2,z'
loop_
_atom_site_label
_atom_site_type_symbol
_atom_site_fract_x
_atom_site_fract_y
_atom_site_fract_z
_atom_site_occupancy
In1 In 0.000 0.000 0.000 1
Cu1 Cu 0.248 0.000 0.779 1
Tc1 Tc 0.002 0.500 0.501 1
Tc2 Tc 0.254 0.500 0.316 1
# * N(E_F): 7.17 states/eV/cell
# * total DFT energy (no corrections): -52.981 eV per cell
# * total magnetization: 0.000 μB/atom

---

(6)
# Ag12P3Se5, optimized geometry, DFT PBE-GGA
data_Ag12P3Se5
_chemical_formula_sum 'Ag96 P24 Se40'
_cell_length_a 15.253
_cell_length_b 15.253
_cell_length_c 15.253
_cell_angle_alpha 90.00
_cell_angle_beta 90.00
_cell_angle_gamma 90.00
_space_group_name_H-M_alt 'I a -3 d'
_space_group_IT_number 230
_space_group_name_Hall '-I 4bd 2c 3'
loop_
_atom_site_label
_atom_site_type_symbol
_atom_site_fract_x
_atom_site_fract_y
_atom_site_fract_z
_atom_site_occupancy
Ag1 Ag 0.023 0.091 0.650 1
P1 P 0.000 0.250 0.125 1
Se1 Se 0.000 0.000 0.000 1
Se2 Se 0.000 0.250 0.375 1
# * N(E_F): 114.69 states/eV/cell
# * formation energy (no corrections): 14 kJ per mole of atoms
# * total magnetization: 0.000 μB/atom

---

(7)
# Rb5InBr7, optimized geometry, DFT PBE-GGA
data_Rb5InBr7
_chemical_formula_sum 'Rb20 In4 Br28'
_cell_length_a 16.656
_cell_length_b 4.555
_cell_length_c 28.715
_cell_angle_alpha 90.00
_cell_angle_beta 90.03
_cell_angle_gamma 90.00
_space_group_name_H-M_alt 'C 1 m 1'
_space_group_IT_number 8
loop_
_space_group_symop_operation_xyz
'x,y,z'
'x,-y,z'
'x+1/2,y+1/2,z'
'x+1/2,-y+1/2,z'
loop_
_atom_site_label
_atom_site_type_symbol
_atom_site_fract_x
_atom_site_fract_y
_atom_site_fract_z
_atom_site_occupancy
Rb1 Rb 0.000 0.000 0.000 1
Rb2 Rb 0.000 0.000 0.196 1
Rb3 Rb 0.044 0.500 0.347 1
Rb4 Rb 0.044 0.500 0.849 1
Rb5 Rb 0.088 0.000 0.499 1
Rb6 Rb 0.088 0.000 0.697 1
Rb7 Rb 0.263 0.000 0.274 1
Rb8 Rb 0.263 0.000 0.922 1
Rb9 Rb 0.324 0.500 0.775 1
Rb10 Rb 0.325 0.500 0.421 1
In1 In 0.267 0.500 0.098 1
In2 In 0.321 0.000 0.598 1
Br1 Br 0.127 0.500 0.238 1
Br2 Br 0.127 0.500 0.958 1
Br3 Br 0.151 0.000 0.098 1
Br4 Br 0.182 0.000 0.389 1
Br5 Br 0.182 0.000 0.807 1
Br6 Br 0.245 0.500 0.536 1
Br7 Br 0.245 0.500 0.660 1
Br8 Br 0.343 0.000 0.036 1
Br9 Br 0.343 0.000 0.160 1
Br10 Br 0.406 0.500 0.306 1
Br11 Br 0.406 0.500 0.890 1
Br12 Br 0.437 0.500 0.598 1
Br13 Br 0.461 0.000 0.739 1
Br14 Br 0.462 0.000 0.457 1
# * N(E_F): 9.26 states/eV/cell
# * formation energy (no corrections): -138 kJ per mole of atoms
# * total magnetization: 0.000 μB/atom

---

(8)
# Nd3DyO, optimized geometry, DFT PBE-GGA
data_Nd3DyO
_chemical_formula_sum 'Nd3 Dy1 O1'
_cell_length_a 5.097
_cell_length_b 5.097
_cell_length_c 5.097
_cell_angle_alpha 90.00
_cell_angle_beta 90.00
_cell_angle_gamma 90.00
_space_group_name_H-M_alt 'P m -3 m'
_space_group_IT_number 221
_space_group_name_Hall '-P 4 2 3'
loop_
_atom_site_label
_atom_site_type_symbol
_atom_site_fract_x
_atom_site_fract_y
_atom_site_fract_z
_atom_site_occupancy
Nd1 Nd 0.000 0.000 0.500 1
Dy1 Dy 0.500 0.500 0.500 1
O1 O 0.000 0.000 0.000 1
# * N(E_F): 4.43 states/eV/cell
# * formation energy (no corrections): -106 kJ per mole of atoms
# * total magnetization: 0.000 μB/atom

---

(9)
# V8CrRh2, optimized geometry, DFT PBE-GGA
data_V8CrRh2
_chemical_formula_sum 'V8 Cr1 Rh2'
_cell_length_a 4.163
_cell_length_b 4.163
_cell_length_c 8.875
_cell_angle_alpha 90.00
_cell_angle_beta 90.00
_cell_angle_gamma 90.00
_space_group_name_H-M_alt 'P 4/m m m'
_space_group_IT_number 123
_space_group_name_Hall '-P 4 2'
loop_
_atom_site_label
_atom_site_type_symbol
_atom_site_fract_x
_atom_site_fract_y
_atom_site_fract_z
_atom_site_occupancy
V1 V 0.000 0.000 0.167 1
V2 V 0.000 0.500 0.000 1
V3 V 0.000 0.500 0.350 1
Cr1 Cr 0.500 0.500 0.500 1
Rh1 Rh 0.500 0.500 0.173 1
# * N(E_F): 14.33 states/eV/cell
# * total DFT energy (no corrections): -96.907 eV per cell
# * total magnetization: 0.000 μB/atom

---

(10)
# MgTlHIr2, optimized geometry, DFT PBE-GGA
data_MgTlHIr2
_chemical_formula_sum 'Mg1 Tl1 H1 Ir2'
_cell_length_a 4.915
_cell_length_b 4.915
_cell_length_c 3.314
_cell_angle_alpha 90.00
_cell_angle_beta 90.00
_cell_angle_gamma 90.00
_space_group_name_H-M_alt 'P 4/m m m'
_space_group_IT_number 123
_space_group_name_Hall '-P 4 2'
loop_
_atom_site_label
_atom_site_type_symbol
_atom_site_fract_x
_atom_site_fract_y
_atom_site_fract_z
_atom_site_occupancy
Mg1 Mg 0.000 0.000 0.000 1
Tl1 Tl 0.500 0.500 0.500 1
H1 H 0.000 0.000 0.500 1
Ir1 Ir 0.000 0.500 0.000 1
# * N(E_F): 3.96 states/eV/cell
# * total DFT energy (no corrections): -20.042 eV per cell
# * total magnetization: 0.000 μB/atom

---

(11)
# LiMo5, optimized geometry, DFT PBE-GGA
data_LiMo5
_chemical_formula_sum 'Li2 Mo10'
_cell_length_a 10.689
_cell_length_b 2.585
_cell_length_c 7.030
_cell_angle_alpha 90.00
_cell_angle_beta 103.89
_cell_angle_gamma 90.00
_space_group_name_H-M_alt 'C 1 m 1'
_space_group_IT_number 8
loop_
_space_group_symop_operation_xyz
'x,y,z'
'x,-y,z'
'x+1/2,y+1/2,z'
'x+1/2,-y+1/2,z'
loop_
_atom_site_label
_atom_site_type_symbol
_atom_site_fract_x
_atom_site_fract_y
_atom_site_fract_z
_atom_site_occupancy
Li1 Li 0.000 0.000 0.000 1
Mo1 Mo 0.064 0.000 0.648 1
Mo2 Mo 0.167 0.500 0.330 1
Mo3 Mo 0.237 0.500 0.975 1
Mo4 Mo 0.331 0.000 0.666 1
Mo5 Mo 0.412 0.000 0.302 1
# * N(E_F): 9.48 states/eV/cell
# * energy above the most stable polymorph in this dataset: 0.0285 eV/atom
# * total magnetization: 0.000 μB/atom

---

(12)
# LaPr14Dy, optimized geometry, DFT PBE-GGA
data_LaPr14Dy
_chemical_formula_sum 'La1 Pr14 Dy1'
_cell_length_a 7.404
_cell_length_b 7.404
_cell_length_c 10.508
_cell_angle_alpha 90.00
_cell_angle_beta 90.00
_cell_angle_gamma 90.00
_space_group_name_H-M_alt 'P 4/m m m'
_space_group_IT_number 123
_space_group_name_Hall '-P 4 2'
loop_
_atom_site_label
_atom_site_type_symbol
_atom_site_fract_x
_atom_site_fract_y
_atom_site_fract_z
_atom_site_occupancy
La1 La 0.000 0.000 0.000 1
Pr1 Pr 0.000 0.000 0.500 1
Pr2 Pr 0.000 0.500 0.000 1
Pr3 Pr 0.000 0.500 0.500 1
Pr4 Pr 0.252 0.252 0.249 1
Pr5 Pr 0.500 0.500 0.500 1
Dy1 Dy 0.500 0.500 0.000 1
# * N(E_F): 26.29 states/eV/cell
# * total DFT energy (no corrections): -76.265 eV per cell
# * total magnetization: 0.000 μB/atom